Below is crystalline Nd8ZnRh3Br4 at its relaxed geometry, with properties calculated at the PBE level.

a = 8.3543 Å, b = 8.3543 Å, c = 9.1463 Å
α = 117.21°, β = 117.21°, γ = 60.02°
Element x y z (fractional)
1 Nd 0.2204 0.7390 0.6977
2 Nd 0.2337 0.2337 0.7004
3 Nd 0.2611 0.2611 0.3022
4 Nd 0.2610 0.7796 0.3023
5 Nd 0.7390 0.2204 0.6977
6 Nd 0.7389 0.7389 0.6978
7 Nd 0.7663 0.7663 0.2996
8 Nd 0.7796 0.2610 0.3023
9 Zn 0.5000 0.5000 0.5000
10 Rh 0.0000 0.0000 0.5000
11 Rh 0.0000 0.5000 0.5000
12 Rh 0.5000 0.0000 0.5000
13 Br 0.0000 0.0000 0.0000
14 Br 0.0000 0.5000 0.0000
15 Br 0.5000 0.0000 0.0000
16 Br 0.5000 0.5000 0.0000

Total magnetic moment: 0.00 μB/cell
E_form (uncorrected): -0.955 eV/atom


Below is crystalline Ce2DyPdSe5 at its relaxed geometry, with properties calculated at the PBE level.

a = 8.8703 Å, b = 8.8703 Å, c = 12.4391 Å
α = 90.00°, β = 90.00°, γ = 153.82°
Element x y z (fractional)
1 Ce 0.1060 0.8940 0.5000
2 Ce 0.1229 0.8771 0.8476
3 Ce 0.8771 0.1229 0.3476
4 Ce 0.8940 0.1060 0.0000
5 Dy 0.1744 0.8256 0.1725
6 Dy 0.8256 0.1744 0.6725
7 Pd 0.4434 0.5566 0.5698
8 Pd 0.5566 0.4434 0.0698
9 Se 0.0097 0.9903 0.1746
10 Se 0.3031 0.6969 0.5042
11 Se 0.3071 0.6929 0.8378
12 Se 0.3410 0.6590 0.1701
13 Se 0.4981 0.5019 0.8884
14 Se 0.5019 0.4981 0.3884
15 Se 0.6590 0.3410 0.6701
16 Se 0.6929 0.3071 0.3378
17 Se 0.6969 0.3031 0.0042
18 Se 0.9903 0.0097 0.6746

Total magnetic moment: 2.51 μB/cell
E_form (uncorrected): -1.577 eV/atom


Below is crystalline TaB2Ru at its relaxed geometry, with properties calculated at the PBE level.

a = 6.2785 Å, b = 6.2785 Å, c = 6.2785 Å
α = 137.35°, β = 137.35°, γ = 61.90°
Element x y z (fractional)
1 Ta 0.0000 0.0000 0.0000
2 Ta 0.7500 0.2500 0.5000
3 B 0.1746 0.6250 0.0496
4 B 0.3750 0.4246 0.5496
5 B 0.5754 0.1250 0.9504
6 B 0.8750 0.8254 0.4504
7 Ru 0.2500 0.7500 0.5000
8 Ru 0.5000 0.5000 0.0000

Total magnetic moment: 0.00 μB/cell
Energy above the lowest structure with this stoichiometry: 784 meV/atom
Energy relative to the elements: 0.54 eV per atom


Number 1: E -5.215 eV per atom. Number 2: E -5.919 eV per atom. Number 3: E -8.077 eV per atom.